Record 1
The following is a PBE-GGA calculation of a relaxed structure of CaPr2Nd7, from Alexandria via LeMat-Bulk.

Calculated values
Spin magnetization = 0.00 μB/cell

The structure in extended XYZ format:
```
10
Lattice="4.497 -8.248 0.000 4.497 8.248 0.000 0.000 0.000 5.729" Properties=species:S:1:pos:R:3 pbc="T T T"
Ca 0.000 0.000 0.000
Pr 4.497 3.357 2.865
Pr 4.497 -3.357 2.865
Nd 1.638 1.914 2.865
Nd 4.497 4.375 0.000
Nd 1.638 -1.914 2.865
Nd 4.497 0.000 2.865
Nd 7.356 1.914 2.865
Nd 4.497 -4.375 0.000
Nd 7.356 -1.914 2.865
```


Record 2
The following is a PBE-GGA calculation of a relaxed structure of Ca2PrNd3, from Alexandria via LeMat-Bulk.

Calculated values
Spin magnetization = 0.00 μB/cell

The structure in extended XYZ format:
```
12
Lattice="7.462 0.000 0.000 -3.731 6.462 0.000 0.000 0.000 9.287" Properties=species:S:1:pos:R:3 pbc="T T T"
Ca 0.000 0.000 0.000
Ca -1.866 3.231 0.000
Ca 3.731 0.000 0.000
Ca 1.866 3.231 0.000
Pr 0.000 4.308 3.203
Pr 3.731 2.154 6.083
Nd 0.000 2.154 6.085
Nd -1.866 5.386 6.085
Nd 1.865 1.077 3.201
Nd 1.866 5.386 6.085
Nd 5.597 1.077 3.201
Nd 3.731 4.309 3.201
```


Record 3
The following is a PBE-GGA calculation of a relaxed structure of Ca2Pr5Nd6, from Alexandria via LeMat-Bulk.

Calculated values
Spin magnetization = 0.00 μB/cell

The structure in extended XYZ format:
```
26
Lattice="12.317 0.000 0.000 0.000 21.132 0.000 0.000 0.000 3.661" Properties=species:S:1:pos:R:3 pbc="T T T"
Ca 2.031 4.559 0.000
Ca 4.128 15.126 0.000
Ca 8.190 6.007 0.000
Ca 10.286 16.573 0.000
Pr 0.000 10.566 1.830
Pr 1.171 16.501 1.830
Pr 2.559 1.108 1.830
Pr 3.599 11.674 1.830
Pr 4.988 5.935 1.830
Pr 6.159 0.000 1.830
Pr 7.329 15.198 1.830
Pr 8.718 9.459 1.830
Pr 9.758 20.025 1.830
Pr 11.147 4.632 1.830
Nd 0.661 19.515 0.000
Nd 0.866 13.493 0.000
Nd 2.293 7.985 1.830
Nd 3.865 18.551 1.830
Nd 5.293 2.927 0.000
Nd 5.497 8.949 0.000
Nd 6.820 12.183 0.000
Nd 7.025 18.206 0.000
Nd 8.452 2.581 1.830
Nd 10.024 13.147 1.830
Nd 11.451 7.640 0.000
Nd 11.656 1.617 0.000
```


no.,formation energy (eV per atom),calculated density (g/cm³)
1,0.580,5.2
2,0.033,4.8
3,0.112,5.8